! Ni3Mo meta-GGA SCAN single point on PBEsol structure; values from VASP
! Space-group type = Pmmn, No. 59
! E_tot = -20.896 eV/atom
! Formation energy = -0.04 eV per atom
! Total magnetization = 0.00 μB per formula unit
&SYSTEM
  ibrav = 0, nat = 8, ntyp = 2
/
ATOMIC_SPECIES
Ni 58.69 Ni.upf
Mo 95.94 Mo.upf
ATOMIC_POSITIONS crystal
Ni 0.000 0.334 0.500
Ni 0.500 0.160 0.249
Ni 0.000 0.840 0.749
Mo 0.000 0.345 0.000
Ni 0.000 0.840 0.251
Mo 0.500 0.655 0.500
Ni 0.500 0.666 0.000
Ni 0.500 0.160 0.751
CELL_PARAMETERS angstrom
4.177 0.000 0.000
0.000 4.407 0.000
0.000 0.000 4.954